Computed, not measured: a geometry-optimized Sr3LaMn4O12 structure at the PBE with a Hubbard U level of DFT.

a b c (Å): 6.739 6.739 6.739
angles (deg): 109.47 109.47 109.47
Site moments in Bohr magnetons follow the coordinates.
Fractional coordinates of all 20 atoms:
Mn 0.000 0.500 0.000  3.37
O 0.246 0.246 0.492  -0.07
La 0.000 0.000 0.000  0.03
O 0.754 0.246 0.000  -0.07
Sr 0.500 0.500 0.000  0.01
Mn 0.000 0.000 0.500  3.37
O 0.754 0.000 0.246  -0.07
O 0.754 0.754 0.508  -0.07
Sr 0.000 0.500 0.500  0.01
Mn 0.500 0.000 0.000  3.37
O 0.000 0.246 0.754  -0.07
Sr 0.500 0.000 0.500  0.01
O 0.246 0.754 0.000  -0.07
Mn 0.500 0.500 0.500  3.37
O 0.000 0.754 0.246  -0.07
O 0.508 0.754 0.754  -0.07
O 0.754 0.508 0.754  -0.07
O 0.492 0.246 0.246  -0.07
O 0.246 0.000 0.754  -0.07
O 0.246 0.492 0.246  -0.07

Calculated values
* total energy: -143.25 eV for the cell shown
* spin magnetization: 13.03 μB per formula unit
* ΔE to the lowest computed polymorph: 10 meV/atom